! PBE-GGA Tb3Y6Th2, relaxed; values from VASP
! Energy of formation = 0.331 eV/atom
! Space-group type = Pnnm
&SYSTEM
  ibrav = 0, nat = 22, ntyp = 3
/
ATOMIC_SPECIES
Tb 158.93 Tb.upf
Y 88.91 Y.upf
Th 232.04 Th.upf
ATOMIC_POSITIONS angstrom
Tb 0.000 0.000 0.000
Tb 0.000 6.291 3.249
Tb 0.000 6.291 6.955
Tb 2.965 0.000 1.853
Tb 2.965 0.000 8.352
Tb 2.965 6.291 5.102
Y 1.167 3.765 5.102
Y 1.336 3.549 1.642
Y 1.336 3.549 8.563
Y 1.629 9.840 3.461
Y 1.629 9.840 6.744
Y 1.798 10.057 0.000
Y 4.132 2.526 0.000
Y 4.301 2.742 3.461
Y 4.301 2.742 6.744
Y 4.595 9.033 1.642
Y 4.595 9.033 8.563
Y 4.764 8.817 5.102
Th 1.430 6.980 0.000
Th 1.536 0.689 5.102
Th 4.395 11.894 5.102
Th 4.501 5.602 0.000
CELL_PARAMETERS angstrom
5.931 0.000 0.000
0.000 12.582 0.000
0.000 0.000 10.205


! PBE-GGA Pm8SmSc5, relaxed; values from VASP
! Energy of formation = 0.194 eV/atom
! Space-group type = P1
&SYSTEM
  ibrav = 0, nat = 14, ntyp = 3
/
ATOMIC_SPECIES
Pm 145.00 Pm.upf
Sm 150.36 Sm.upf
Sc 44.96 Sc.upf
ATOMIC_POSITIONS angstrom
Pm 0.000 0.000 0.000
Pm -4.014 2.766 4.124
Pm -2.686 6.065 2.901
Pm -2.172 0.730 6.132
Pm -0.117 3.307 2.718
Pm 2.634 1.349 1.815
Pm 3.762 -1.048 4.365
Pm 5.638 2.857 0.440
Sm -0.581 -1.849 5.679
Sc -1.887 0.402 2.776
Sc -0.632 5.884 0.418
Sc -1.430 3.872 5.960
Sc 0.968 1.418 5.170
Sc 2.831 4.899 1.372
CELL_PARAMETERS angstrom
8.176 0.000 0.000
-3.542 7.465 0.000
-3.297 -3.123 7.181


! PBE-GGA TbDy4Au2, relaxed; values from VASP
! Energy of formation = -0.254 eV/atom
! Space-group type = R-3m
&SYSTEM
  ibrav = 0, nat = 7, ntyp = 3
/
ATOMIC_SPECIES
Tb 158.93 Tb.upf
Dy 162.50 Dy.upf
Au 196.97 Au.upf
ATOMIC_POSITIONS angstrom
Tb 0.000 0.000 0.000
Dy 0.000 0.000 6.097
Dy 0.000 0.000 12.036
Dy 0.000 0.000 18.232
Dy 0.000 0.000 24.172
Au 0.000 0.000 3.070
Au 0.000 0.000 27.199
CELL_PARAMETERS angstrom
2.463 1.422 10.090
-2.463 1.422 10.090
0.000 -2.845 10.090


! PBE-GGA TaNiSb, relaxed; values from VASP
! Space-group type = P3m1
! Total energy = -7.051 eV per atom
&SYSTEM
  ibrav = 0, nat = 3, ntyp = 3
/
ATOMIC_SPECIES
Ta 180.95 Ta.upf
Ni 58.69 Ni.upf
Sb 121.76 Sb.upf
ATOMIC_POSITIONS angstrom
Ta 0.000 0.000 0.000
Ni 1.540 0.889 1.922
Sb 0.000 1.779 4.069
CELL_PARAMETERS angstrom
3.081 0.000 0.000
-1.540 2.668 0.000
0.000 0.000 6.503


no.,magnetic moment (Bohr magnetons per cell),ρ (g/cm3)
1,0.00,6.4
2,0.00,5.8
3,0.00,9.4
4,0.00,11.2